Entry 1:
Dy7Te2Pb2: relaxed, PBE-GGA.

Cell: 7.123 7.029 7.123 Å, 89.99 101.37 90.01°
Atoms (fractional coordinates):
Dy 0.500 0.271 0.000
Dy 0.500 0.740 0.500
Te 0.724 0.000 0.276
Pb 0.185 0.500 0.185
Dy 0.000 0.271 0.500
Dy 0.000 0.000 0.000
Te 0.276 0.000 0.724
Pb 0.815 0.500 0.815
Dy 0.000 0.729 0.500
Dy 0.500 0.260 0.500
Dy 0.500 0.729 0.000

Summary:
- formation energy from raw total energies (meV per atom) = -365
- space group = Cmmm (65)
- density (Mg/m³) = 8.6

Entry 2:
PmAg2F5: relaxed, PBE-GGA.

Cell: 6.423 7.391 10.257 Å, 90.00 90.00 90.00°
Atoms (fractional coordinates):
F 0.650 0.038 0.414
Ag 0.967 0.496 0.669
Ag 0.467 0.996 0.831
F 0.311 0.250 0.290
Ag 0.967 0.004 0.669
Pm 0.576 0.750 0.492
F 0.850 0.038 0.914
Ag 0.533 0.496 0.169
Ag 0.033 0.996 0.331
F 0.650 0.462 0.414
Ag 0.533 0.004 0.169
Pm 0.076 0.250 0.008
Pm 0.424 0.250 0.508
Ag 0.033 0.504 0.331
F 0.350 0.962 0.586
F 0.150 0.962 0.086
F 0.150 0.538 0.086
F 0.648 0.250 0.679
F 0.189 0.250 0.790
F 0.435 0.250 0.010
F 0.350 0.538 0.586
F 0.148 0.750 0.821
F 0.352 0.750 0.321
F 0.565 0.750 0.990
F 0.811 0.750 0.210
Ag 0.467 0.504 0.831
F 0.935 0.750 0.490
F 0.689 0.750 0.710
F 0.852 0.250 0.179
Pm 0.924 0.750 0.992
F 0.065 0.250 0.510
F 0.850 0.462 0.914

Summary:
- formation energy from raw total energies (meV per atom) = -2503
- space group = Pnma (62)
- density (Mg/m³) = 6.2

Entry 3:
ThAlPd4: relaxed, PBE-GGA.

Cell: 4.770 7.078 7.089 Å, 90.00 109.66 90.00°
Atoms (fractional coordinates):
Pd 0.597 0.750 0.194
Pd 0.000 0.000 0.000
Th 0.391 0.750 0.782
Pd 0.787 0.562 0.574
Al 0.860 0.250 0.721
Pd 0.787 0.938 0.574
Pd 0.403 0.250 0.806
Th 0.609 0.250 0.218
Al 0.140 0.750 0.279
Pd 0.213 0.438 0.426
Pd 0.000 0.500 0.000
Pd 0.213 0.062 0.426

Summary:
- space group = Cmcm (63)
- ΔE_f (eV/atom) = -0.663
- density (Mg/m³) = 10.1

Entry 4:
KIn2Te2: relaxed, PBE-GGA.

Cell: 5.843 5.843 6.548 Å, 63.50 63.50 90.00°
Atoms (fractional coordinates):
Te 0.250 0.750 0.500
Te 0.750 0.250 0.500
K 0.000 0.000 0.000
In 0.647 0.647 0.707
In 0.353 0.353 0.293

Summary:
- energy above the lowest structure with this stoichiometry (eV per atom) = 0.000
- formation energy from raw total energies (meV per atom) = -480
- space group = I4/mmm (139)
- density (Mg/m³) = 5.0